(1)
Ca6AgRh2 after structural relaxation, computed with GGA-PBE.

The structure belongs to space group Immm (No. 71); the cell edges are 9.563, 9.665 and 10.910 Å and the angles 90.00°, 90.00° and 90.00°. Symmetry generates all atoms from Ca at (0.000, 0.200, 0.242), Ca at (0.179, 0.500, 0.160), Ca at (0.210, 0.322, 0.500), Ag at (0.000, 0.000, 0.000), Ag at (0.000, 0.000, 0.500), Rh at (0.000, 0.312, 0.000) and Rh at (0.000, 0.500, 0.372).

As for the formation energy: -331 meV per atom. As for the crystal system: orthorhombic. For the density of states at the Fermi level, the calculation gives 0.55 states/eV/atom.

---

(2)
K3CaAs2O8 after structural relaxation, computed with GGA-PBE.

The structure belongs to space group P-3m1 (No. 164); the cell edges are 6.0026, 6.0026 and 7.7277 Å and the angles 90.00°, 90.00° and 120.00°. Symmetry generates all atoms from K at (0.0000, 0.0000, 0.0000), K at (0.3333, 0.6667, 0.6837), Ca at (0.0000, 0.0000, 0.5000), As at (0.3333, 0.6667, 0.2396), O at (0.1778, 0.3557, 0.3167) and O at (0.3333, 0.6667, 0.0183).

As for the crystal system: trigonal. For the density of states at the Fermi level, the calculation gives 0.81 states/eV/atom. The value obtained for the uncorrected formation energy is -1.762 eV/atom.

---

(3)
Rb2AuI3 after structural relaxation, computed with GGA-PBE.

The structure belongs to space group Immm (No. 71); the cell edges are 5.040, 5.943 and 18.588 Å and the angles 90.00°, 90.00° and 90.00°. Symmetry generates all atoms from Rb at (0.000, 0.000, 0.143), Au at (0.000, 0.000, 0.500), I at (0.000, 0.000, 0.346) and I at (0.000, 0.500, 0.500).

Its excess energy over the best structure of this formula in the dataset is 0.40 eV/f.u. As for the crystal system: orthorhombic. The value obtained for the uncorrected formation energy is -0.931 eV/atom.

---

(4)
VGaTc2 after structural relaxation, computed with GGA-PBE.

The structure belongs to space group P4/mmm (No. 123); the cell edges are 3.075, 3.075 and 5.983 Å and the angles 90.00°, 90.00° and 90.00°. Symmetry generates all atoms from V at (0.000, 0.000, 0.000), Ga at (0.000, 0.000, 0.500) and Tc at (0.500, 0.500, 0.244).

As for the formation energy: -218 meV per atom. Its excess energy over the best structure of this formula in the dataset is 0.09 eV/f.u. As for the crystal system: tetragonal. For the density of states at the Fermi level, the calculation gives 1.19 states/eV/atom.

---

(5)
KNiPt2 after structural relaxation, computed with GGA-PBE.

The structure belongs to space group R-3m (No. 166, hexagonal axes); the cell edges are 2.8293, 2.8293 and 29.2180 Å and the angles 90.00°, 90.00° and 120.00°. Symmetry generates all atoms from K at (0.0000, 0.0000, 0.0000), Ni at (0.0000, 0.0000, 0.5000) and Pt at (0.0000, 0.0000, 0.2374).

As for the formation energy: 195 meV per atom. Its excess energy over the best structure of this formula in the dataset is 0.38 eV/f.u. As for the crystal system: trigonal. For the density of states at the Fermi level, the calculation gives 0.77 states/eV/atom.

---

(6)
NdEr2Cu9 after structural relaxation, computed with GGA-PBE.

The structure belongs to space group R-3m (No. 166, hexagonal axes); the cell edges are 5.2132, 5.2132 and 24.6649 Å and the angles 90.00°, 90.00° and 120.00°. Symmetry generates all atoms from Nd at (0.0000, 0.0000, 0.0000), Er at (0.0000, 0.0000, 0.1435), Cu at (0.0000, 0.0000, 0.3323), Cu at (0.0000, 0.0000, 0.5000) and Cu at (0.0002, 0.5001, 0.0831).

As for the formation energy: -199 meV per atom. As for the crystal system: trigonal. For the density of states at the Fermi level, the calculation gives 0.67 states/eV/atom.